Entry 1:
A geometry-optimized ScTe2PbAuSe structure. Source: the Open Quantum Materials Database, functional PBE.

Summary:
- total DFT energy (no corrections) (eV/atom) = -4.500

abc: 4.1411 14.6967 10.3778
angles: 90.00 90.00 90.00
Last column: nearest neighbours and their distance in Å.
Space group Cmcm (No. 63)
Symmetry-distinct sites (fractional):
Sc (0.0000, 0.0000, 0.0000) (multiplicity 4)  2 Se 2.86, 4 Te 3.00
Te (0.0000, 0.3549, 0.0421) (multiplicity 8)  1 Au 2.74, 2 Sc 3.00
Pb (0.0000, 0.2460, 0.7500) (multiplicity 4)  2 Se 3.28, 6 Te 3.34-3.43
Au (0.0000, 0.4697, 0.2500) (multiplicity 4)  2 Se 2.64, 2 Te 2.74
Se (0.0000, 0.0813, 0.2500) (multiplicity 4)  2 Au 2.64, 2 Sc 2.86

Entry 2:
A geometry-optimized Sc2SnPbAu2 structure. Source: the Open Quantum Materials Database, functional PBE.

Summary:
- total DFT energy (no corrections) (eV/atom) = -5.139

abc: 11.3700 4.6407 11.3748
angles: 90.00 109.47 90.00
Last column: nearest neighbours and their distance in Å.
Space group Pm (No. 6)
Symmetry-distinct sites (fractional):
Sc (0.0000, 0.0000, 0.0000) (multiplicity 1)  4 Au 2.84-2.88
Sc (0.1211, 0.5000, 0.3747) (multiplicity 1)  4 Au 2.81-2.85
Sc (0.2458, 0.0000, 0.7477) (multiplicity 1)  4 Au 2.86-2.87
Sc (0.3753, 0.5000, 0.1277) (multiplicity 1)  4 Au 2.81-2.87
Sc (0.4984, 0.0000, 0.5014) (multiplicity 1)  4 Au 2.79-2.88
Sc (0.6235, 0.5000, 0.8728) (multiplicity 1)  4 Au 2.83-2.86
Sc (0.7482, 0.0000, 0.2510) (multiplicity 1)  4 Au 2.85-2.92
Sc (0.8725, 0.5000, 0.6244) (multiplicity 1)  4 Au 2.79-2.81
Sn (0.2491, 0.0000, 0.2503) (multiplicity 1)  4 Au 2.80-2.82
Sn (0.6232, 0.5000, 0.3753) (multiplicity 1)  4 Au 2.82
Sn (0.7475, 0.0000, 0.7486) (multiplicity 1)  4 Au 2.80-2.82
Sn (0.9969, 0.0000, 0.4990) (multiplicity 1)  4 Au 2.81-2.82
Pb (0.1220, 0.5000, 0.8753) (multiplicity 1)  4 Au 2.85-2.88
Pb (0.3732, 0.5000, 0.6235) (multiplicity 1)  4 Au 2.86-2.89
Pb (0.4991, 0.0000, 0.0021) (multiplicity 1)  4 Au 2.86-2.89
Pb (0.8737, 0.5000, 0.1259) (multiplicity 1)  4 Au 2.87-2.89
Au (0.1286, 0.5000, 0.1303) (multiplicity 1)  2 Sn 2.81, 4 Sc 2.81-2.88, 2 Pb 2.88
Au (0.2427, 0.0000, 0.4946) (multiplicity 1)  2 Sn 2.80-2.81, 4 Sc 2.81-2.88, 2 Pb 2.88
Au (0.3727, 0.5000, 0.8746) (multiplicity 1)  4 Pb 2.85-2.86, 4 Sc 2.86-2.87
Au (0.4990, 0.0000, 0.2563) (multiplicity 1)  4 Sc 2.79-2.85, 3 Sn 2.82, 1 Pb 2.89
Au (0.6275, 0.5000, 0.6242) (multiplicity 1)  4 Sc 2.79-2.85, 3 Sn 2.82, 1 Pb 2.89
Au (0.7489, 0.0000, 0.9948) (multiplicity 1)  1 Sn 2.80, 4 Sc 2.83-2.92, 3 Pb 2.87
Au (0.8722, 0.5000, 0.3793) (multiplicity 1)  4 Sc 2.79-2.85, 3 Sn 2.82, 1 Pb 2.89
Au (0.9929, 0.0000, 0.7448) (multiplicity 1)  2 Sn 2.80-2.81, 4 Sc 2.81-2.88, 2 Pb 2.88

Entry 3:
A geometry-optimized ScTe3PbAu structure. Source: the Open Quantum Materials Database, functional PBE.

Summary:
- ΔE to the lowest computed polymorph (meV/atom) = 19

abc: 4.1872 14.7026 10.9589
angles: 90.00 90.00 90.00
Last column: nearest neighbours and their distance in Å.
Space group Cmcm (No. 63)
Symmetry-distinct sites (fractional):
Sc (0.0000, 0.0000, 0.0000) (multiplicity 4)  6 Te 2.98-3.04
Te (0.0000, 0.0889, 0.2500) (multiplicity 4)  2 Au 2.80, 2 Sc 3.04
Te (0.0000, 0.3586, 0.0394) (multiplicity 8)  1 Au 2.76, 2 Sc 2.98
Pb (0.0000, 0.2178, 0.7500) (multiplicity 4)  6 Te 3.31-3.53, 2 Au 3.37
Au (0.0000, 0.4620, 0.2500) (multiplicity 4)  4 Te 2.76-2.80

Entry 4:
A geometry-optimized ScTe3PbAu structure. Source: the Open Quantum Materials Database, functional PBE.

Summary:
- ΔE to the lowest computed polymorph (meV/atom) = 0

abc: 8.2218 4.2347 10.5176
angles: 90.00 107.39 90.00
Last column: nearest neighbours and their distance in Å.
Space group P2_1/m (No. 11)
Symmetry-distinct sites (fractional):
Sc (0.2037, 0.2500, 0.1787) (multiplicity 2)  6 Te 2.95-3.02, 2 Au 3.21
Te (0.0686, 0.2500, 0.8788) (multiplicity 2)  3 Sc 3.01-3.02, 2 Pb 3.25
Te (0.2034, 0.2500, 0.4597) (multiplicity 2)  3 Au 2.85-3.14, 1 Sc 2.96
Te (0.4408, 0.7500, 0.1516) (multiplicity 2)  1 Au 2.74, 2 Sc 2.95
Pb (0.2263, 0.7500, 0.7135) (multiplicity 2)  7 Te 3.25-3.46
Au (0.4011, 0.7500, 0.4009) (multiplicity 2)  3 Te 2.74-2.85

Entry 5:
A geometry-optimized ScTe3PbAu structure. Source: the Open Quantum Materials Database, functional PBE.

Summary:
- ΔE to the lowest computed polymorph (meV/atom) = 50

abc: 13.3536 4.3490 11.7414
angles: 90.00 90.00 90.00
Last column: nearest neighbours and their distance in Å.
Space group Pnma (No. 62)
Symmetry-distinct sites (fractional):
Sc (0.0066, 0.2500, 0.1886) (multiplicity 4)  6 Te 2.95-3.09, 2 Au 3.29
Te (0.0293, 0.7500, 0.3559) (multiplicity 4)  1 Au 2.68, 2 Sc 2.95
Te (0.0987, 0.2500, 0.9556) (multiplicity 4)  3 Sc 3.00-3.09, 2 Pb 3.23
Te (0.1889, 0.7500, 0.6785) (multiplicity 4)  2 Au 2.75, 1 Sc 3.04
Pb (0.2233, 0.2500, 0.4426) (multiplicity 4)  7 Te 3.23-3.55, 3 Au 3.43-3.45
Au (0.1900, 0.7500, 0.2193) (multiplicity 4)  3 Te 2.68-2.75

Entry 6:
A geometry-optimized SmTe2PbAuSe structure. Source: the Open Quantum Materials Database, functional PBE.

Summary:
- total DFT energy (no corrections) (eV/atom) = -4.366

abc: 4.3178 14.8671 10.7455
angles: 90.00 90.00 90.00
Last column: nearest neighbours and their distance in Å.
Space group Cmcm (No. 63)
Symmetry-distinct sites (fractional):
Sm (0.0000, 0.0000, 0.0000) (multiplicity 4)  2 Se 2.97, 4 Te 3.18
Te (0.0000, 0.3484, 0.0575) (multiplicity 8)  1 Au 2.78
Pb (0.0000, 0.2527, 0.7500) (multiplicity 4)  2 Se 3.24, 6 Te 3.35-3.60
Au (0.0000, 0.4733, 0.2500) (multiplicity 4)  2 Se 2.72, 2 Te 2.78
Se (0.0000, 0.0844, 0.2500) (multiplicity 4)  2 Au 2.72, 2 Sm 2.97

Entry 7:
A geometry-optimized SmTePbAuSe2 structure. Source: the Open Quantum Materials Database, functional PBE.

Summary:
- total DFT energy (no corrections) (eV/atom) = -4.507

abc: 4.1833 14.2915 11.2755
angles: 90.00 90.00 90.00
Last column: nearest neighbours and their distance in Å.
Space group Cmcm (No. 63)
Symmetry-distinct sites (fractional):
Sm (0.0000, 0.0000, 0.0000) (multiplicity 4)  4 Se 2.96, 2 Te 3.18
Te (0.0000, 0.1024, 0.2500) (multiplicity 4)  2 Au 2.83
Pb (0.0000, 0.2115, 0.7500) (multiplicity 4)  4 Se 3.17, 2 Au 3.33, 2 Te 3.38
Au (0.0000, 0.4694, 0.2500) (multiplicity 4)  2 Se 2.65, 2 Te 2.83
Se (0.0000, 0.3607, 0.0594) (multiplicity 8)  1 Au 2.65, 2 Sm 2.96

Entry 8:
A geometry-optimized TbTe2PbAuSe structure. Source: the Open Quantum Materials Database, functional PBE.

Summary:
- total DFT energy (no corrections) (eV/atom) = -4.340

abc: 4.2472 14.9109 10.6104
angles: 90.00 90.00 90.00
Last column: nearest neighbours and their distance in Å.
Space group Cmcm (No. 63)
Symmetry-distinct sites (fractional):
Tb (0.0000, 0.0000, 0.0000) (multiplicity 4)  2 Se 2.93, 4 Te 3.14
Te (0.0000, 0.3497, 0.0528) (multiplicity 8)  1 Au 2.78
Pb (0.0000, 0.2514, 0.7500) (multiplicity 4)  2 Se 3.25, 6 Te 3.34-3.53
Au (0.0000, 0.4719, 0.2500) (multiplicity 4)  2 Se 2.70, 2 Te 2.78
Se (0.0000, 0.0836, 0.2500) (multiplicity 4)  2 Au 2.70, 2 Tb 2.93

Entry 9:
A geometry-optimized TbTePbAuSe2 structure. Source: the Open Quantum Materials Database, functional PBE.

Summary:
- total DFT energy (no corrections) (eV/atom) = -4.485

abc: 4.1504 14.2584 11.1734
angles: 90.00 90.00 90.00
Last column: nearest neighbours and their distance in Å.
Space group Cmcm (No. 63)
Symmetry-distinct sites (fractional):
Tb (0.0000, 0.0000, 0.0000) (multiplicity 4)  4 Se 2.92, 2 Te 3.15
Te (0.0000, 0.1018, 0.2500) (multiplicity 4)  2 Au 2.82, 2 Tb 3.15
Pb (0.0000, 0.2105, 0.7500) (multiplicity 4)  4 Se 3.18, 2 Au 3.29, 2 Te 3.39
Au (0.0000, 0.4681, 0.2500) (multiplicity 4)  2 Se 2.65, 2 Te 2.82
Se (0.0000, 0.3624, 0.0551) (multiplicity 8)  1 Au 2.65, 2 Tb 2.92

Entry 10:
A geometry-optimized TlTePbAuSe2 structure. Source: the Open Quantum Materials Database, functional PBE.

Summary:
- total DFT energy (no corrections) (eV/atom) = -3.377

abc: 4.0070 15.0603 11.4637
angles: 90.00 90.00 90.00
Last column: nearest neighbours and their distance in Å.
Space group Cmcm (No. 63)
Symmetry-distinct sites (fractional):
Tl (0.0000, 0.2206, 0.2500) (multiplicity 4)  4 Se 3.06, 2 Te 3.30
Te (0.0000, 0.1053, 0.7500) (multiplicity 4)  2 Au 2.76
Pb (0.0000, 0.0000, 0.0000) (multiplicity 4)  4 Se 3.05, 2 Te 3.28
Au (0.0000, 0.4794, 0.7500) (multiplicity 4)  2 Se 2.67, 2 Te 2.76
Se (0.0000, 0.3594, 0.5785) (multiplicity 8)  1 Au 2.67

Entry 11:
A geometry-optimized TlTe2PbAuSe structure. Source: the Open Quantum Materials Database, functional PBE.

Summary:
- total DFT energy (no corrections) (eV/atom) = -3.324

abc: 4.1538 14.3040 11.7402
angles: 90.00 90.00 90.00
Last column: nearest neighbours and their distance in Å.
Space group Cmcm (No. 63)
Symmetry-distinct sites (fractional):
Tl (0.0000, 0.2298, 0.2500) (multiplicity 4)  2 Se 3.23, 4 Te 3.45
Te (0.0000, 0.1672, 0.5521) (multiplicity 8)  1 Au 2.83
Pb (0.0000, 0.5000, 0.0000) (multiplicity 4)  2 Se 3.04, 4 Te 3.23
Au (0.0000, 0.0536, 0.7500) (multiplicity 4)  2 Se 2.61, 2 Te 2.83
Se (0.0000, 0.4435, 0.7500) (multiplicity 4)  2 Au 2.61

Entry 12:
A geometry-optimized TmTe2PbAuSe structure. Source: the Open Quantum Materials Database, functional PBE.

Summary:
- total DFT energy (no corrections) (eV/atom) = -4.283

abc: 4.2288 14.8652 10.4944
angles: 90.00 90.00 90.00
Last column: nearest neighbours and their distance in Å.
Space group Cmcm (No. 63)
Symmetry-distinct sites (fractional):
Tm (0.0000, 0.0000, 0.0000) (multiplicity 4)  2 Se 2.90, 4 Te 3.10
Te (0.0000, 0.3515, 0.0495) (multiplicity 8)  1 Au 2.77
Pb (0.0000, 0.2500, 0.7500) (multiplicity 4)  2 Se 3.26, 6 Te 3.34-3.49
Au (0.0000, 0.4723, 0.2500) (multiplicity 4)  2 Se 2.68, 2 Te 2.77
Se (0.0000, 0.0826, 0.2500) (multiplicity 4)  2 Au 2.68, 2 Tm 2.90